(1)
Crystalline Nb3CuH at its relaxed geometry, computed with PBEsol.

Calculated values
Total energy (eV/atom): -7.988

a b c (Å): 4.076 4.076 4.076
angles (deg): 90.00 90.00 90.00
Space group Pm-3m (No. 221)
Unique sites:
Nb 0.000 0.000 0.500
Cu 0.500 0.500 0.500
H 0.000 0.000 0.000

***

(2)
Crystalline Ca2CoSi at its relaxed geometry, computed with PBEsol.

Calculated values
Raw formation energy (eV per atom): -0.35

a b c (Å): 3.9238 3.9238 22.5463
angles (deg): 90.00 90.00 120.00
Space group R3m (No. 160, hexagonal axes)
Unique sites:
Ca 0.0000 0.0000 0.0000
Ca 0.0000 0.0000 0.1723
Co 0.0000 0.0000 0.4194
Si 0.0000 0.0000 0.7529